DFT (PBE+U) results for crystalline CrMoO4 at its relaxed geometry.

Lattice parameters (Å, degrees): 5.5873 5.5873 5.5873 108.18 108.18 112.09
Closest atoms and distances in Å follow each position.
Positions (direct):
Cr 0.0000 0.0000 0.0000  6 O 2.00-2.03
Cr 0.7500 0.2500 0.5000  6 O 2.00-2.03
Mo 0.2628 0.7628 0.5000  6 O 1.95-2.12
Mo 0.5128 0.5128 0.0000  6 O 1.95-2.12
O 0.1976 0.4964 0.7011  2 Mo 1.96-2.12, 1 Cr 2.03
O 0.2464 0.0453 0.7989  2 Mo 1.96-2.12, 1 Cr 2.03
O 0.2464 0.4476 0.2011  2 Mo 1.96-2.12, 1 Cr 2.03
O 0.3080 0.0011 0.3069  1 Mo 1.95, 2 Cr 2.00-2.01
O 0.6941 0.0011 0.6931  1 Mo 1.95, 2 Cr 2.00-2.01
O 0.7511 0.5580 0.8069  1 Mo 1.95, 2 Cr 2.00-2.01
O 0.7511 0.9441 0.1931  1 Mo 1.95, 2 Cr 2.00-2.01
O 0.7953 0.4964 0.2989  2 Mo 1.96-2.12, 1 Cr 2.03

Summary:
offset from the most stable computed form	0.0071	eV per atom